(1)
The following is a DFT calculation (GGA-PBE) of a geometry-optimized H2PtW structure. Values from VASP.

The structure in Quantum ESPRESSO input format:
```
&SYSTEM
  ibrav = 0, nat = 8, ntyp = 3
/
ATOMIC_SPECIES
H 1.01 H.upf
Pt 195.08 Pt.upf
W 183.84 W.upf
CELL_PARAMETERS angstrom
-2.1178 2.1178 4.3022
2.1178 -2.1178 4.3022
2.1178 2.1178 -4.3022
ATOMIC_POSITIONS crystal
H 0.1253 0.6250 0.0003
H 0.3750 0.3753 0.5003
H 0.6247 0.1250 0.9997
H 0.8750 0.8747 0.4997
Pt 0.0000 0.0000 0.0000
Pt 0.7500 0.2500 0.5000
W 0.2500 0.7500 0.5000
W 0.5000 0.5000 0.0000
```

Size of the total moment, μB/f.u.: 0.0
Electronic total energy, eV per formula unit: -24.55
N(E_F), states/eV per atom: 0.25

=====

(2)
The following is a DFT calculation (GGA-PBE) of a geometry-optimized Nd3Sn3Ir structure. Values from VASP.

The structure in Quantum ESPRESSO input format:
```
&SYSTEM
  ibrav = 0, nat = 14, ntyp = 3
/
ATOMIC_SPECIES
Nd 144.24 Nd.upf
Sn 118.71 Sn.upf
Ir 192.22 Ir.upf
CELL_PARAMETERS angstrom
5.7274 -2.2981 0.0000
5.7274 2.2981 0.0000
-5.0744 0.0000 14.4818
ATOMIC_POSITIONS crystal
Nd 0.0208 0.0208 0.3813
Nd 0.0995 0.0995 0.9212
Nd 0.2407 0.2407 0.2430
Nd 0.7593 0.7593 0.7570
Nd 0.9005 0.9005 0.0788
Nd 0.9792 0.9792 0.6187
Sn 0.3487 0.3487 0.4668
Sn 0.3774 0.3774 0.9241
Sn 0.4724 0.4724 0.7646
Sn 0.5276 0.5276 0.2354
Sn 0.6226 0.6226 0.0759
Sn 0.6513 0.6513 0.5332
Ir 0.2529 0.2529 0.6168
Ir 0.7471 0.7471 0.3832
```

Size of the total moment, μB/f.u.: 0.0
Electronic total energy, eV per formula unit: -40.50
N(E_F), states/eV per atom: 0.83

=====

(3)
The following is a DFT calculation (GGA-PBE) of a geometry-optimized Sr4TeN2 structure. Values from VASP.

The structure in Quantum ESPRESSO input format:
```
&SYSTEM
  ibrav = 0, nat = 14, ntyp = 3
/
ATOMIC_SPECIES
Sr 87.62 Sr.upf
Te 127.60 Te.upf
N 14.01 N.upf
CELL_PARAMETERS angstrom
2.0546 -6.6704 0.0000
2.0546 6.6704 0.0000
0.0000 0.0000 13.4020
ATOMIC_POSITIONS crystal
Sr 0.0000 0.0000 0.0000
Sr 0.0000 0.0000 0.5000
Sr 0.2626 0.7374 0.5975
Sr 0.2626 0.7374 0.9025
Sr 0.4226 0.5774 0.2500
Sr 0.5774 0.4226 0.7500
Sr 0.7374 0.2626 0.0975
Sr 0.7374 0.2626 0.4025
Te 0.1077 0.8923 0.2500
Te 0.8923 0.1077 0.7500
N 0.3595 0.6405 0.0665
N 0.3595 0.6405 0.4335
N 0.6405 0.3595 0.5665
N 0.6405 0.3595 0.9335
```

Size of the total moment, μB/f.u.: 0.0
ΔE_f (raw), eV per atom: -0.83

=====

(4)
The following is a DFT calculation (GGA-PBE) of a geometry-optimized Cs2AsI4 structure. Values from VASP.

The structure in Quantum ESPRESSO input format:
```
&SYSTEM
  ibrav = 0, nat = 7, ntyp = 3
/
ATOMIC_SPECIES
Cs 132.91 Cs.upf
As 74.92 As.upf
I 126.90 I.upf
CELL_PARAMETERS angstrom
-4.3705 4.3705 5.1071
4.3705 -4.3705 5.1071
4.3705 4.3705 -5.1071
ATOMIC_POSITIONS crystal
Cs 0.2500 0.7500 0.5000
Cs 0.7500 0.2500 0.5000
As 0.0000 0.0000 0.0000
I 0.2329 0.2329 0.4657
I 0.2329 0.7671 0.0000
I 0.7671 0.2329 0.0000
I 0.7671 0.7671 0.5343
```

Size of the total moment, μB/f.u.: 1.0
ΔE_f (raw), eV per atom: -0.88

=====

(5)
The following is a DFT calculation (GGA-PBE) of a geometry-optimized HoHfCuRu structure. Values from VASP.

The structure in Quantum ESPRESSO input format:
```
&SYSTEM
  ibrav = 0, nat = 4, ntyp = 4
/
ATOMIC_SPECIES
Ho 164.93 Ho.upf
Hf 178.49 Hf.upf
Cu 63.55 Cu.upf
Ru 101.07 Ru.upf
CELL_PARAMETERS angstrom
0.0000 3.3302 3.3302
3.3302 0.0000 3.3302
3.3302 3.3302 0.0000
ATOMIC_POSITIONS crystal
Ho 0.0000 0.0000 0.0000
Hf 0.5000 0.5000 0.5000
Cu 0.7500 0.7500 0.7500
Ru 0.2500 0.2500 0.2500
```

Size of the total moment, μB/f.u.: 0.0
Electronic total energy, eV per formula unit: -29.27
N(E_F), states/eV per atom: 0.82

=====

(6)
The following is a DFT calculation (GGA-PBE) of a geometry-optimized Pm6Pr2NdDy3 structure. Values from VASP.

The structure in Quantum ESPRESSO input format:
```
&SYSTEM
  ibrav = 0, nat = 12, ntyp = 4
/
ATOMIC_SPECIES
Pm 145.00 Pm.upf
Pr 140.91 Pr.upf
Nd 144.24 Nd.upf
Dy 162.50 Dy.upf
CELL_PARAMETERS angstrom
3.1529 -5.4619 0.0000
3.1529 5.4619 0.0000
-2.1050 0.0000 11.8601
ATOMIC_POSITIONS crystal
Pm 0.0850 0.4181 0.7545
Pm 0.2481 0.2481 0.2454
Pm 0.4181 0.0850 0.7545
Pm 0.5819 0.9150 0.2455
Pm 0.7519 0.7519 0.7546
Pm 0.9150 0.5819 0.2455
Pr 0.3334 0.6666 0.5000
Pr 0.6666 0.3334 0.5000
Nd 0.0000 0.0000 0.5000
Dy 0.1666 0.8334 0.0000
Dy 0.5000 0.5000 0.0000
Dy 0.8334 0.1666 0.0000
```

Size of the total moment, μB/f.u.: 0.0
Electronic total energy, eV per formula unit: -56.45
N(E_F), states/eV per atom: 1.43

=====

(7)
The following is a DFT calculation (GGA-PBE) of a geometry-optimized Li3Ac2Rh2 structure. Values from VASP.

The structure in Quantum ESPRESSO input format:
```
&SYSTEM
  ibrav = 0, nat = 7, ntyp = 3
/
ATOMIC_SPECIES
Li 6.94 Li.upf
Ac 227.00 Ac.upf
Rh 102.91 Rh.upf
CELL_PARAMETERS angstrom
5.3616 -2.0604 0.0000
5.3616 2.0604 0.0000
-0.8285 0.0000 7.3190
ATOMIC_POSITIONS crystal
Li 0.0000 0.0000 0.0000
Li 0.3190 0.3190 0.1199
Li 0.6810 0.6810 0.8801
Ac 0.3769 0.3769 0.6461
Ac 0.6231 0.6231 0.3539
Rh 0.0945 0.0945 0.6648
Rh 0.9055 0.9055 0.3352
```

Size of the total moment, μB/f.u.: 0.0
Electronic total energy, eV per formula unit: -31.10
N(E_F), states/eV per atom: 0.47

=====

(8)
The following is a DFT calculation (GGA-PBE) of a geometry-optimized TlFeIr2 structure. Values from VASP.

The structure in Quantum ESPRESSO input format:
```
&SYSTEM
  ibrav = 0, nat = 4, ntyp = 3
/
ATOMIC_SPECIES
Tl 204.38 Tl.upf
Fe 55.84 Fe.upf
Ir 192.22 Ir.upf
CELL_PARAMETERS angstrom
-1.5120 2.2845 4.6569
1.5120 -2.2845 4.6569
1.5120 2.2845 -4.6569
ATOMIC_POSITIONS crystal
Tl 0.0000 0.0000 0.0000
Fe 0.2520 0.7520 0.5000
Ir 0.4750 0.4750 0.0000
Ir 0.7361 0.2361 0.5000
```

Size of the total moment, μB/f.u.: 3.6
Electronic total energy, eV per formula unit: -26.44
N(E_F), states/eV per atom: 0.95

=====

(9)
The following is a DFT calculation (GGA-PBE) of a geometry-optimized Y2SiTe structure. Values from VASP.

The structure in Quantum ESPRESSO input format:
```
&SYSTEM
  ibrav = 0, nat = 4, ntyp = 3
/
ATOMIC_SPECIES
Y 88.91 Y.upf
Si 28.09 Si.upf
Te 127.60 Te.upf
CELL_PARAMETERS angstrom
1.8505 1.0684 9.3220
-1.8505 1.0684 9.3220
0.0000 -2.1367 9.3220
ATOMIC_POSITIONS crystal
Y 0.0000 0.0000 0.0000
Y 0.2307 0.2307 0.2307
Si 0.7461 0.7461 0.7461
Te 0.4791 0.4791 0.4791
```

Size of the total moment, μB/f.u.: 0.7
ΔE_f (raw), eV per atom: -0.08
N(E_F), states/eV per atom: 0.96

=====

(10)
The following is a DFT calculation (GGA-PBE) of a geometry-optimized NdPu2Os structure. Values from VASP.

The structure in Quantum ESPRESSO input format:
```
&SYSTEM
  ibrav = 0, nat = 4, ntyp = 3
/
ATOMIC_SPECIES
Nd 144.24 Nd.upf
Pu 244.00 Pu.upf
Os 190.23 Os.upf
CELL_PARAMETERS angstrom
2.3671 1.3667 4.9930
-2.3671 1.3667 4.9930
0.0000 -2.7333 4.9930
ATOMIC_POSITIONS crystal
Nd 0.0000 0.0000 0.0000
Pu 0.2288 0.2288 0.2288
Pu 0.7712 0.7712 0.7712
Os 0.5000 0.5000 0.5000
```

Size of the total moment, μB/f.u.: 11.0
Electronic total energy, eV per formula unit: -43.84
N(E_F), states/eV per atom: 3.24

=====

(11)
The following is a DFT calculation (GGA-PBE) of a geometry-optimized Cs2Th2S5 structure. Values from VASP.

The structure in Quantum ESPRESSO input format:
```
&SYSTEM
  ibrav = 0, nat = 18, ntyp = 3
/
ATOMIC_SPECIES
Cs 132.91 Cs.upf
Th 232.04 Th.upf
S 32.06 S.upf
CELL_PARAMETERS angstrom
8.5030 -3.9715 0.0000
8.5030 3.9715 0.0000
0.0000 0.0000 7.9494
ATOMIC_POSITIONS crystal
Cs 0.2063 0.2063 0.0000
Cs 0.2937 0.2937 0.5000
Cs 0.7063 0.7063 0.5000
Cs 0.7937 0.7937 0.0000
Th 0.1659 0.8341 0.6659
Th 0.3341 0.6659 0.1659
Th 0.6659 0.3341 0.8341
Th 0.8341 0.1659 0.3341
S 0.0000 0.0000 0.0000
S 0.0402 0.7548 0.3575
S 0.2452 0.9598 0.3575
S 0.2548 0.5402 0.8575
S 0.4598 0.7452 0.8575
S 0.5000 0.5000 0.5000
S 0.5402 0.2548 0.1425
S 0.7452 0.4598 0.1425
S 0.7548 0.0402 0.6425
S 0.9598 0.2452 0.6425
```

Size of the total moment, μB/f.u.: 0.0
ΔE_f (raw), eV per atom: -1.78

=====

(12)
The following is a DFT calculation (GGA-PBE) of a geometry-optimized ReNi2Pt structure. Values from VASP.

The structure in Quantum ESPRESSO input format:
```
&SYSTEM
  ibrav = 0, nat = 4, ntyp = 3
/
ATOMIC_SPECIES
Re 186.21 Re.upf
Ni 58.69 Ni.upf
Pt 195.08 Pt.upf
CELL_PARAMETERS angstrom
4.4109 -1.3357 0.0000
4.4109 1.3357 0.0000
-0.8022 0.0000 4.4469
ATOMIC_POSITIONS crystal
Re 0.0000 0.0000 0.0000
Ni 0.2514 0.2514 0.7578
Ni 0.5050 0.5050 0.5194
Pt 0.7535 0.7535 0.2578
```

Size of the total moment, μB/f.u.: 0.0
Electronic total energy, eV per formula unit: -30.25
N(E_F), states/eV per atom: 0.91

=====

(13)
The following is a DFT calculation (GGA-PBE) of a geometry-optimized Tl8Os structure. Values from VASP.

The structure in Quantum ESPRESSO input format:
```
&SYSTEM
  ibrav = 0, nat = 9, ntyp = 2
/
ATOMIC_SPECIES
Tl 204.38 Tl.upf
Os 190.23 Os.upf
CELL_PARAMETERS angstrom
-6.4390 6.4390 1.6277
6.4390 -6.4390 1.6277
6.4390 6.4390 -1.6277
ATOMIC_POSITIONS crystal
Tl 0.0000 0.3274 0.3274
Tl 0.0000 0.6726 0.6726
Tl 0.3274 0.0000 0.3274
Tl 0.3665 0.3665 0.7329
Tl 0.3665 0.6335 0.0000
Tl 0.6335 0.3665 0.0000
Tl 0.6335 0.6335 0.2671
Tl 0.6726 0.0000 0.6726
Os 0.0000 0.0000 0.0000
```

Size of the total moment, μB/f.u.: 0.0
Electronic total energy, eV per formula unit: -26.95
N(E_F), states/eV per atom: 0.54

=====

(14)
The following is a DFT calculation (GGA-PBE) of a geometry-optimized TbY3Th5 structure. Values from VASP.

The structure in Quantum ESPRESSO input format:
```
&SYSTEM
  ibrav = 0, nat = 18, ntyp = 3
/
ATOMIC_SPECIES
Tb 158.93 Tb.upf
Y 88.91 Y.upf
Th 232.04 Th.upf
CELL_PARAMETERS angstrom
-4.6176 4.6176 7.1135
4.6176 -4.6176 7.1135
4.6176 4.6176 -7.1135
ATOMIC_POSITIONS crystal
Tb 0.2500 0.7500 0.5000
Tb 0.7500 0.2500 0.5000
Y 0.1040 0.6040 0.7079
Y 0.2500 0.2500 0.0000
Y 0.3960 0.1040 0.5000
Y 0.6040 0.8960 0.5000
Y 0.7500 0.7500 0.0000
Y 0.8960 0.3960 0.2921
Th 0.0000 0.0000 0.0000
Th 0.0812 0.1649 0.5000
Th 0.1649 0.6649 0.0837
Th 0.3351 0.4188 0.5000
Th 0.4188 0.9188 0.0837
Th 0.5000 0.5000 0.0000
Th 0.5812 0.0812 0.9163
Th 0.6649 0.5812 0.5000
Th 0.8351 0.3351 0.9163
Th 0.9188 0.8351 0.5000
```

Size of the total moment, μB/f.u.: 0.0
Electronic total energy, eV per formula unit: -56.96
N(E_F), states/eV per atom: 1.85

=====

(15)
The following is a DFT calculation (GGA-PBE) of a geometry-optimized GdHoBeOs structure. Values from VASP.

The structure in Quantum ESPRESSO input format:
```
&SYSTEM
  ibrav = 0, nat = 4, ntyp = 4
/
ATOMIC_SPECIES
Gd 157.25 Gd.upf
Ho 164.93 Ho.upf
Be 9.01 Be.upf
Os 190.23 Os.upf
CELL_PARAMETERS angstrom
0.0000 3.4202 3.4202
3.4202 0.0000 3.4202
3.4202 3.4202 0.0000
ATOMIC_POSITIONS crystal
Gd 0.0000 0.0000 0.0000
Ho 0.5000 0.5000 0.5000
Be 0.7500 0.7500 0.7500
Os 0.2500 0.2500 0.2500
```

Size of the total moment, μB/f.u.: 7.0
Electronic total energy, eV per formula unit: -33.80
N(E_F), states/eV per atom: 0.84

=====

(16)
The following is a DFT calculation (GGA-PBE) of a geometry-optimized PmTh2Ru structure. Values from VASP.

The structure in Quantum ESPRESSO input format:
```
&SYSTEM
  ibrav = 0, nat = 16, ntyp = 3
/
ATOMIC_SPECIES
Pm 145.00 Pm.upf
Th 232.04 Th.upf
Ru 101.07 Ru.upf
CELL_PARAMETERS angstrom
7.2661 0.0000 0.0000
0.0000 9.8396 0.0000
0.0000 0.0000 6.4109
ATOMIC_POSITIONS crystal
Pm 0.0382 0.2500 0.1449
Pm 0.4618 0.7500 0.6449
Pm 0.5382 0.2500 0.3551
Pm 0.9618 0.7500 0.8551
Th 0.1725 0.0626 0.6624
Th 0.1725 0.4374 0.6624
Th 0.3275 0.5626 0.1624
Th 0.3275 0.9374 0.1624
Th 0.6725 0.0626 0.8376
Th 0.6725 0.4374 0.8376
Th 0.8275 0.5626 0.3376
Th 0.8275 0.9374 0.3376
Ru 0.1111 0.7500 0.3777
Ru 0.3889 0.2500 0.8777
Ru 0.6111 0.7500 0.1223
Ru 0.8889 0.2500 0.6223
```

Size of the total moment, μB/f.u.: 0.0
Electronic total energy, eV per formula unit: -30.02
N(E_F), states/eV per atom: 1.04

=====

(17)
The following is a DFT calculation (GGA-PBE) of a geometry-optimized TlRuF2 structure. Values from VASP.

The structure in Quantum ESPRESSO input format:
```
&SYSTEM
  ibrav = 0, nat = 4, ntyp = 3
/
ATOMIC_SPECIES
Tl 204.38 Tl.upf
Ru 101.07 Ru.upf
F 19.00 F.upf
CELL_PARAMETERS angstrom
1.5174 0.8761 8.3294
-1.5174 0.8761 8.3294
0.0000 -1.7522 8.3294
ATOMIC_POSITIONS crystal
Tl 0.0000 0.0000 0.0000
Ru 0.5000 0.5000 0.5000
F 0.4215 0.4215 0.4215
F 0.5785 0.5785 0.5785
```

Size of the total moment, μB/f.u.: 1.8
ΔE_f (raw), eV per atom: -0.86
N(E_F), states/eV per atom: 0.71

=====

(18)
The following is a DFT calculation (GGA-PBE) of a geometry-optimized La2HfScTi structure. Values from VASP.

The structure in Quantum ESPRESSO input format:
```
&SYSTEM
  ibrav = 0, nat = 5, ntyp = 4
/
ATOMIC_SPECIES
La 138.91 La.upf
Hf 178.49 Hf.upf
Sc 44.96 Sc.upf
Ti 47.87 Ti.upf
CELL_PARAMETERS angstrom
5.6405 0.0000 0.0000
0.0000 5.6405 0.0000
0.0000 0.0000 5.0521
ATOMIC_POSITIONS crystal
La 0.0000 0.5000 0.0000
La 0.5000 0.0000 0.0000
Hf 0.0000 0.0000 0.5000
Sc 0.0000 0.0000 0.0000
Ti 0.5000 0.5000 0.5000
```

Size of the total moment, μB/f.u.: 2.9
Electronic total energy, eV per formula unit: -28.48
N(E_F), states/eV per atom: 2.43

=====

(19)
The following is a DFT calculation (GGA-PBE) of a geometry-optimized LuGaSn structure. Values from VASP.

The structure in Quantum ESPRESSO input format:
```
&SYSTEM
  ibrav = 0, nat = 3, ntyp = 3
/
ATOMIC_SPECIES
Lu 174.97 Lu.upf
Ga 69.72 Ga.upf
Sn 118.71 Sn.upf
CELL_PARAMETERS angstrom
4.3374 0.0000 0.0000
-2.1687 3.7563 0.0000
0.0000 0.0000 4.3924
ATOMIC_POSITIONS crystal
Lu 0.0000 0.0000 0.0000
Ga 0.3333 0.6667 0.6758
Sn 0.6667 0.3333 0.4273
```

Size of the total moment, μB/f.u.: 0.0
Electronic total energy, eV per formula unit: -12.76
N(E_F), states/eV per atom: 0.20

=====

(20)
The following is a DFT calculation (GGA-PBE) of a geometry-optimized TiGa2Ru2 structure. Values from VASP.

The structure in Quantum ESPRESSO input format:
```
&SYSTEM
  ibrav = 0, nat = 10, ntyp = 3
/
ATOMIC_SPECIES
Ti 47.87 Ti.upf
Ga 69.72 Ga.upf
Ru 101.07 Ru.upf
CELL_PARAMETERS angstrom
6.9602 0.0000 0.0000
0.0000 6.9602 0.0000
0.0000 0.0000 3.1244
ATOMIC_POSITIONS crystal
Ti 0.0000 0.0000 0.0000
Ti 0.5000 0.5000 0.0000
Ga 0.1524 0.3476 0.5000
Ga 0.3476 0.8476 0.5000
Ga 0.6524 0.1524 0.5000
Ga 0.8476 0.6524 0.5000
Ru 0.1467 0.6467 0.0000
Ru 0.3533 0.1467 0.0000
Ru 0.6467 0.8533 0.0000
Ru 0.8533 0.3533 0.0000
```

Size of the total moment, μB/f.u.: 0.0
Electronic total energy, eV per formula unit: -34.17
N(E_F), states/eV per atom: 0.39